1.
KGaAu4: relaxed, PBE.

Values from the calculation:
M_tot   0.0 μB per cell
D(E_F)   4.2 states/eV/cell
Energy above the lowest structure with this stoichiometry   118 meV/atom

Unit cell a=5.7039 b=5.7039 c=5.7039 alpha=60.00 beta=60.00 gamma=60.00
Last column: nearest neighbours and their distance in Å.
Atoms (fractional coordinates):
K  0.2500  0.2500  0.2500  12 Au 3.34, 4 Ga 3.49
Au  0.6250  0.6250  0.6250  6 Au 2.85
Au  0.6250  0.6250  0.1250  6 Au 2.85
Au  0.6250  0.1250  0.6250  6 Au 2.85
Au  0.1250  0.6250  0.6250  6 Au 2.85
Ga  0.0000  0.0000  0.0000  12 Au 3.34, 4 K 3.49

---

2.
K2Ga5Au3: relaxed, PBE.

Values from the calculation:
M_tot   0.0 μB per cell
Uncorrected energy   -0.1082 Ha/atom
D(E_F)   8.5 states/eV/cell

Unit cell a=4.4888 b=7.3747 c=14.3137 alpha=90.00 beta=99.02 gamma=90.00
Last column: nearest neighbours and their distance in Å.
Atoms (fractional coordinates):
Ga  0.7109  0.4160  0.4219  4 Au 2.72-2.81, 1 Ga 2.86
Ga  0.1330  0.2566  0.2660  4 Au 2.70-2.88, 3 Ga 2.87-2.92
Ga  0.9290  0.0738  0.8580  3 Au 2.66-2.72, 1 Ga 2.92
Ga  0.2853  0.5287  0.5707  2 Ga 2.66-2.86, 3 Au 2.68-2.77
K  0.4919  0.7419  0.9838  5 Au 3.33-3.72, 3 Ga 3.40-3.58, 2 K 3.72
Ga  0.8670  0.7566  0.7340  4 Au 2.70-2.88, 3 Ga 2.87-2.92
Ga  0.3794  0.5192  0.7589  2 Au 2.65, 3 Ga 2.66-2.87
Ga  0.0710  0.5738  0.1420  3 Au 2.66-2.72, 1 Ga 2.92
Ga  0.7147  0.0287  0.4293  2 Ga 2.66-2.86, 3 Au 2.68-2.77
Au  0.2293  0.2198  0.4587  7 Ga 2.68-2.81
Ga  0.6206  0.0192  0.2411  2 Au 2.65, 3 Ga 2.66-2.87
Au  0.3867  0.9446  0.7734  5 Ga 2.70-2.77
Au  0.7707  0.7198  0.5413  7 Ga 2.68-2.81
Au  0.6133  0.4446  0.2266  5 Ga 2.70-2.77
K  0.1774  0.7301  0.3549  9 Ga 3.22-3.49, 5 Au 3.24-3.57
Au  0.0758  0.9342  0.1516  4 Ga 2.65-2.88
Au  0.9242  0.4342  0.8484  4 Ga 2.65-2.88
Ga  0.2891  0.9160  0.5781  4 Au 2.72-2.81, 1 Ga 2.86
K  0.8226  0.2301  0.6451  9 Ga 3.22-3.49, 5 Au 3.24-3.57
K  0.5081  0.2419  0.0162  5 Au 3.33-3.72, 3 Ga 3.40-3.58, 2 K 3.72

---

3.
K4Ga2Au3: relaxed, PBE.

Values from the calculation:
M_tot   0.0 μB per cell
Uncorrected energy   -0.0911 Ha/atom
D(E_F)   4.3 states/eV/cell

Unit cell a=4.0130 b=8.1014 c=9.7255 alpha=107.70 beta=101.91 gamma=90.00
Last column: nearest neighbours and their distance in Å.
Atoms (fractional coordinates):
Au  0.1038  0.2681  0.2075  2 Ga 2.65
K  0.5679  0.8877  0.1358  2 Ga 3.46-3.54, 6 Au 3.56-3.71, 1 K 3.59
K  0.2446  0.7074  0.4893  3 Au 3.47-3.73, 3 Ga 3.59-3.84
K  0.7554  0.2926  0.5107  3 Au 3.47-3.73, 3 Ga 3.59-3.84
Au  0.0000  0.5000  0.0000  4 Ga 2.70
Ga  0.5897  0.4689  0.1795  4 Au 2.65-2.70
K  0.4321  0.1123  0.8642  2 Ga 3.46-3.54, 6 Au 3.56-3.71, 1 K 3.59
Au  0.8962  0.7319  0.7925  2 Ga 2.65
Ga  0.4103  0.5311  0.8205  4 Au 2.65-2.70

---

4.
K2Ga2Au: relaxed, PBE.

Values from the calculation:
M_tot   0.0 μB per cell
D(E_F)   2.4 states/eV/cell
Energy above the lowest structure with this stoichiometry   56 meV/atom

Unit cell a=6.9372 b=6.9372 c=5.7319 alpha=90.00 beta=90.00 gamma=90.00
Last column: nearest neighbours and their distance in Å.
Atoms (fractional coordinates):
Au  0.0000  0.0000  0.0000  4 Ga 2.71
Ga  0.3679  0.8679  0.0000  1 Ga 2.59, 2 Au 2.71
Ga  0.6321  0.1321  0.0000  1 Ga 2.59, 2 Au 2.71
Au  0.5000  0.5000  0.0000  4 Ga 2.71
Ga  0.1321  0.3679  0.0000  1 Ga 2.59, 2 Au 2.71
K  0.6876  0.8124  0.5000  6 Ga 3.37-3.64, 5 K 3.57-3.68
K  0.8124  0.3124  0.5000  6 Ga 3.37-3.64, 5 K 3.57-3.68
K  0.3124  0.1876  0.5000  6 Ga 3.37-3.64, 5 K 3.57-3.68
Ga  0.8679  0.6321  0.0000  1 Ga 2.59, 2 Au 2.71
K  0.1876  0.6876  0.5000  6 Ga 3.37-3.64, 5 K 3.57-3.68

---

5.
K4GaAu4: relaxed, PBE.

Values from the calculation:
M_tot   0.0 μB per cell
Uncorrected energy   -0.0922 Ha/atom
D(E_F)   3.7 states/eV/cell

Unit cell a=6.8978 b=8.4230 c=6.8978 alpha=65.83 beta=90.00 gamma=114.17
Last column: nearest neighbours and their distance in Å.
Atoms (fractional coordinates):
K  0.1461  0.7198  0.4263  1 Ga 3.39, 6 Au 3.44-3.53
Au  0.3266  0.2186  0.1080  1 Ga 2.60
Au  0.8920  0.2186  0.6734  1 Ga 2.60
Au  0.6734  0.7814  0.3266  1 Ga 2.60
K  0.8539  0.2802  0.1461  1 Ga 3.39, 6 Au 3.44-3.53
K  0.4263  0.2802  0.5737  1 Ga 3.39, 6 Au 3.44-3.53
Ga  0.0000  0.0000  0.0000  4 Au 2.60
Au  0.1080  0.7814  0.8920  1 Ga 2.60
K  0.5737  0.7198  0.8539  1 Ga 3.39, 6 Au 3.44-3.53

---

6.
KGa4Au6: relaxed, PBE.

Values from the calculation:
M_tot   0.0 μB per cell
D(E_F)   4.0 states/eV/cell
Energy above the lowest structure with this stoichiometry   36 meV/atom

Unit cell a=7.1605 b=7.1708 c=6.8772 alpha=57.97 beta=57.98 gamma=87.00
Last column: nearest neighbours and their distance in Å.
Atoms (fractional coordinates):
Au  0.5410  0.0144  0.9738  3 Ga 2.76-3.03, 4 Au 2.90-2.93
Ga  0.4745  0.4759  0.6581  4 Au 2.48-2.68
Au  0.0135  0.5391  0.9754  3 Ga 2.76-3.02, 4 Au 2.91-2.94
Ga  0.8640  0.8632  0.6856  6 Au 2.50-2.76
Ga  0.5080  0.1183  0.3422  4 Au 2.50-2.71
K  0.0105  0.0101  0.0034  7 Au 3.36-3.70, 7 Ga 3.42-3.73
Au  0.4611  0.7765  0.7733  4 Ga 2.50-2.72
Au  0.5264  0.5276  0.2438  4 Ga 2.48-2.71
Au  0.2089  0.2079  0.2282  4 Ga 2.50-2.68
Ga  0.1162  0.5063  0.3424  4 Au 2.50-2.72
Au  0.7759  0.4610  0.7734  4 Ga 2.50-2.71